No. 1
Below is a relaxed structure of Sr2In2Sn, with properties calculated at the GGA-PBE level.

Cell and atoms, written as POSCAR:
```
Sr2In2Sn
1.0
7.9740 0.0000 0.0000
0.0000 7.9740 0.0000
0.0000 0.0000 5.1742
Sr In Sn
4 4 2
Cartesian
1.3982 2.5888 0.0000
2.5888 6.5758 0.0000
5.3852 1.3982 0.0000
6.5758 5.3852 0.0000
1.0339 5.0209 2.5871
2.9531 1.0339 2.5871
5.0209 6.9401 2.5871
6.9401 2.9531 2.5871
0.0000 0.0000 2.5871
3.9870 3.9870 2.5871
```

Computed properties:
ρ	5.29	g/cm3
energy relative to the elements	-0.42	eV/atom
ΔE to the lowest computed polymorph	39	meV per atom



No. 2
Below is a relaxed structure of Sr3U2CuP6, with properties calculated at the GGA-PBE level.

Cell and atoms, written as POSCAR:
```
Sr3U2CuP6
1.0
3.5140 -6.1078 0.0000
3.5140 6.1078 0.0000
-2.3123 0.0000 6.8175
Sr U Cu P
3 2 1 6
Cartesian
0.0000 0.0000 0.0000
3.5140 1.9769 0.0000
3.5140 -1.9769 0.0000
2.3579 4.0665 3.4088
2.3579 -4.0665 3.4088
2.3579 0.0000 3.4088
1.1426 2.1065 1.9917
-0.0350 0.0000 4.8056
1.1426 -2.1065 1.9917
3.5731 2.1065 4.8258
4.7507 0.0000 2.0119
3.5731 -2.1065 4.8258
```

Computed properties:
ρ	5.61	g/cm3
energy relative to the elements	-0.74	eV/atom



No. 3
Below is a relaxed structure of ScFe2HgSb, with properties calculated at the GGA-PBE level.

Cell and atoms, written as POSCAR:
```
ScFe2HgSb
1.0
4.5974 0.0000 0.0000
0.0000 4.5974 0.0000
0.0000 0.0000 5.4057
Sc Fe Hg Sb
1 2 1 1
Cartesian
0.0000 0.0000 0.0000
0.0000 2.2987 0.0000
2.2987 0.0000 0.0000
0.0000 0.0000 2.7028
2.2987 2.2987 2.7028
```

Computed properties:
ρ	6.96	g/cm3
uncorrected formation energy	1121.0	meV/atom



No. 4
Below is a relaxed structure of CaAc2MgTl4, with properties calculated at the GGA-PBE level.

Cell and atoms, written as POSCAR:
```
CaAc2MgTl4
1.0
2.7867 1.6089 9.3589
-2.7867 1.6089 9.3589
0.0000 -3.2178 9.3589
Ca Ac Mg Tl
1 2 1 4
Cartesian
0.0000 0.0000 0.0000
0.0000 0.0000 6.8885
0.0000 0.0000 21.1881
0.0000 0.0000 14.0383
0.0000 0.0000 3.5231
0.0000 0.0000 10.4748
0.0000 0.0000 17.6017
0.0000 0.0000 24.5535
```

Computed properties:
ρ	8.81	g/cm3
energy relative to the elements	-0.33	eV/atom



No. 5
Below is a relaxed structure of Sr3GeP2Pt9, with properties calculated at the GGA-PBE level.

Cell and atoms, written as POSCAR:
```
Sr3GeP2Pt9
1.0
6.4173 0.0000 0.0000
-3.2087 5.5576 0.0000
0.0000 0.0000 8.7459
Sr Ge P Pt
3 1 2 9
Cartesian
0.0000 0.0000 0.0000
0.0000 3.7051 5.6076
3.2087 1.8525 3.1383
0.0000 0.0000 4.3730
0.0000 3.7051 1.5674
3.2087 1.8525 7.1785
-1.6043 2.7788 0.0000
0.0000 1.6337 2.4890
-1.7939 4.7407 2.4890
1.4148 0.8168 6.2569
3.2087 0.0000 0.0000
1.6043 2.7788 0.0000
1.7939 4.7407 2.4890
5.0025 0.8168 6.2569
3.2087 3.9239 6.2569
```

Computed properties:
ρ	11.46	g/cm3
energy relative to the elements	-0.65	eV/atom



No. 6
Below is a relaxed structure of B4C, with properties calculated at the GGA-PBE level.

Cell and atoms, written as POSCAR:
```
B4C
1.0
2.8040 0.0000 0.0000
-1.1406 2.6753 0.0000
-0.1166 -0.3574 4.9484
B C
4 1
Cartesian
0.0000 0.0000 0.0000
-0.0373 0.3946 3.2591
0.2379 1.6495 0.0625
1.3147 0.4155 1.0285
1.3643 0.4365 2.5493
```

Computed properties:
ρ	2.47	g/cm3
energy relative to the elements	0.37	eV/atom
ΔE to the lowest computed polymorph	472	meV per atom



No. 7
Below is a relaxed structure of HgPt2W, with properties calculated at the GGA-PBE level.

Cell and atoms, written as POSCAR:
```
HgPt2W
1.0
2.8477 0.0000 0.0000
0.0000 2.8477 0.0000
0.0000 0.0000 8.3718
Hg Pt W
1 2 1
Cartesian
0.0000 0.0000 0.0000
1.4238 1.4238 2.3062
1.4238 1.4238 6.0656
0.0000 0.0000 4.1859
```

Computed properties:
ρ	18.95	g/cm3
energy relative to the elements	-0.16	eV/atom



No. 8
Below is a relaxed structure of InTcIr2, with properties calculated at the GGA-PBE level.

Cell and atoms, written as POSCAR:
```
InTcIr2
1.0
2.8212 0.0000 0.0000
0.0000 3.8502 0.0000
0.0000 0.0000 5.9121
In Tc Ir
1 1 2
Cartesian
0.0000 0.0000 0.0000
1.4106 1.9251 4.1748
0.0000 0.0000 2.9990
1.4106 1.9251 1.5014
```

Computed properties:
ρ	15.44	g/cm3
energy relative to the elements	0.12	eV/atom



No. 9
Below is a relaxed structure of CaCoP2, with properties calculated at the GGA-PBE level.

Cell and atoms, written as POSCAR:
```
CaCoP2
1.0
0.0000 3.1731 3.1731
3.1731 0.0000 3.1731
3.1731 3.1731 0.0000
Ca Co P
1 1 2
Cartesian
0.0000 0.0000 0.0000
3.1731 3.1731 3.1731
1.5865 1.5865 1.5865
4.7596 4.7596 4.7596
```

Computed properties:
ρ	4.18	g/cm3
energy relative to the elements	-0.03	eV/atom
ΔE to the lowest computed polymorph	672	meV per atom



No. 10
Below is a relaxed structure of Re2NiOs, with properties calculated at the GGA-PBE level.

Cell and atoms, written as POSCAR:
```
Re2NiOs
1.0
1.4281 -2.2549 0.0000
1.4281 2.2549 0.0000
0.0000 0.0000 8.8759
Re Ni Os
2 1 1
Cartesian
0.0000 0.0000 0.0000
1.4281 0.0000 2.2946
1.4281 0.0000 6.7485
0.0000 0.0000 4.5780
```

Computed properties:
ρ	18.05	g/cm3
energy relative to the elements	0.41	eV/atom
ΔE to the lowest computed polymorph	464	meV per atom



No. 11
Below is a relaxed structure of CeLuInCu, with properties calculated at the GGA-PBE level.

Cell and atoms, written as POSCAR:
```
CeLuInCu
1.0
0.0000 3.6602 3.6602
3.6602 0.0000 3.6602
3.6602 3.6602 0.0000
Ce Lu In Cu
1 1 1 1
Cartesian
0.0000 0.0000 0.0000
3.6602 3.6602 3.6602
5.4903 5.4903 5.4903
1.8301 1.8301 1.8301
```

Computed properties:
ρ	8.36	g/cm3
energy relative to the elements	-0.19	eV/atom



No. 12
Below is a relaxed structure of LaPm4Nd4, with properties calculated at the GGA-PBE level.

Cell and atoms, written as POSCAR:
```
LaPm4Nd4
1.0
6.4266 0.0000 0.0000
1.0797 9.0783 0.0000
0.0096 2.2874 10.8913
La Pm Nd
2 8 8
Cartesian
1.6050 0.5716 2.7181
5.9109 10.7941 8.1732
1.6048 6.3735 1.4994
1.6305 7.9033 8.7749
2.6938 10.4087 6.3531
2.6913 11.1700 9.9862
4.8221 0.9569 4.5382
4.8246 0.1957 0.9051
5.8854 3.4623 2.1164
5.9111 4.9921 9.3919
1.6123 7.1442 5.1504
2.6765 4.6056 7.5706
2.6834 3.0822 0.2937
2.6872 3.8490 3.9360
4.8287 7.5166 6.9553
4.8325 8.2835 10.5976
4.8395 6.7600 3.3207
5.9037 4.2215 5.7409
```

Computed properties:
ρ	6.77	g/cm3
energy relative to the elements	0.01	eV/atom
ΔE to the lowest computed polymorph	0	meV per atom